An optimized crystal structure of La2CoP, computed with PBE.

Output
The total energy is -6.20 eV/atom. The density of states at the Fermi level comes out at 4.993 states/eV/f.u. For the volume, the calculation gives 25.864 Å³ per atom. The magnetic moment comes out at 0.117 μB per cell.

a b c (Å): 4.164 4.164 7.296
angles (deg): 73.51 73.51 59.96
Atoms (fractional coordinates):
La  0.498  0.498  0.506
La  0.002  0.002  0.994
Co  0.750  0.750  0.750
P  0.250  0.250  0.250